Record 1
First-principles (PBE) data for a relaxed RbBiRu2N crystal, as listed in the Alexandria database.

POSCAR file:
```
RbBiRu2N
1.0
4.201 0.000 0.000
0.000 5.293 0.000
0.000 0.000 4.201
Ru Bi N Rb
2 1 1 1
Direct
0.000 0.000 0.500
0.500 0.000 0.000
0.500 0.500 0.500
0.000 0.000 0.000
0.000 0.500 0.000
```

Results
The space-group type is No. 123. The calculation puts the energy relative to the elements, uncorrected at 0.87 eV per atom.

Record 2
First-principles (PBE) data for a relaxed CsSICl2 crystal, as listed in the Alexandria database.

POSCAR file:
```
CsSICl2
1.0
-4.732 -3.217 -0.364
1.104 -2.209 5.174
-2.759 3.807 2.214
S Cl Cs I
1 2 1 1
Direct
0.000 0.000 0.500
0.500 0.000 0.000
0.000 0.500 0.000
0.500 0.500 0.500
0.000 0.000 0.000
```

Results
The space-group type is No. 123. The calculation puts the energy relative to the elements, uncorrected at -0.54 eV per atom. Its energy above the lowest structure with this stoichiometry is 0.000 eV/atom.

Record 3
First-principles (PBE) data for a relaxed LiZr2HgC crystal, as listed in the Alexandria database.

POSCAR file:
```
LiZr2HgC
1.0
4.564 0.000 0.000
0.000 4.564 0.000
0.000 0.000 4.184
Zr Li C Hg
2 1 1 1
Direct
0.000 0.500 0.000
0.500 0.000 0.000
0.000 0.000 0.500
0.000 0.000 0.000
0.500 0.500 0.500
```

Results
The formation enthalpy at 0 K is -1.2 eV/f.u. The space-group type is No. 123.

Record 4
First-principles (PBE) data for a relaxed Zr2NbInO crystal, as listed in the Alexandria database.

POSCAR file:
```
Zr2NbInO
1.0
-1.030 -1.312 4.298
1.922 -4.115 -0.795
3.698 1.469 1.334
O In Zr Nb
1 1 2 1
Direct
0.000 0.000 0.000
0.500 0.500 0.500
0.500 0.000 0.000
0.000 0.500 0.000
0.000 0.000 0.500
```

Results
The space-group type is No. 123. The calculation puts the energy relative to the elements, uncorrected at -0.95 eV per atom.

Record 5
First-principles (PBE) data for a relaxed CePuZnGa crystal, as listed in the Alexandria database.

POSCAR file:
```
CePuZnGa
1.0
-2.674 0.848 -4.253
1.962 -1.246 -4.533
-1.929 -3.920 -2.620
Ga Zn Ce Pu
1 1 1 1
Direct
0.750 0.750 0.750
0.250 0.250 0.250
0.000 0.000 0.000
0.500 0.500 0.500
```

Results
The formation enthalpy at 0 K is -1.0 eV/f.u. The space-group type is No. 216. Its energy above the lowest structure with this stoichiometry is 0.000 eV/atom.

Record 6
First-principles (PBE) data for a relaxed Ta2CoAs crystal, as listed in the Alexandria database.

POSCAR file:
```
Ta2CoAs
1.0
4.822 -0.078 0.052
3.511 3.305 0.052
1.943 0.753 3.833
Ta Co As
2 1 1
Direct
0.995 0.995 0.005
0.505 0.505 0.495
0.250 0.250 0.250
0.750 0.750 0.750
```

Results
The formation enthalpy at 0 K is -0.4 eV/f.u. The space-group type is No. 71.

Record 7
First-principles (PBE) data for a relaxed ErIn2Pd crystal, as listed in the Alexandria database.

POSCAR file:
```
ErIn2Pd
1.0
-8.932 3.342 -5.018
7.872 -6.430 -3.582
-4.279 -6.228 7.684
In Pd Er
20 10 10
Direct
0.523 0.015 0.793
0.222 0.015 0.492
0.904 0.904 0.259
0.135 0.518 0.383
0.222 0.730 0.207
0.445 0.281 0.163
0.518 0.135 0.383
0.645 0.904 0.000
0.904 0.645 0.000
0.730 0.523 0.508
0.135 0.752 0.617
0.118 0.281 0.837
0.523 0.730 0.508
0.645 0.645 0.741
0.752 0.135 0.617
0.281 0.118 0.837
0.015 0.222 0.492
0.730 0.222 0.207
0.015 0.523 0.793
0.281 0.445 0.163
0.385 0.885 0.500
0.885 0.385 0.500
0.976 0.188 0.212
0.976 0.763 0.788
0.307 0.307 0.678
0.629 0.629 0.322
0.763 0.976 0.788
0.629 0.307 0.000
0.188 0.976 0.212
0.307 0.629 0.000
0.609 0.329 0.720
0.889 0.609 0.280
0.921 0.325 0.000
0.921 0.921 0.596
0.538 0.538 0.000
0.609 0.889 0.280
0.329 0.609 0.720
0.011 0.011 0.000
0.325 0.325 0.404
0.325 0.921 0.000
```

Results
The formation enthalpy at 0 K is -2.6 eV/f.u. The space-group type is No. 107.

Record 8
First-principles (PBE) data for a relaxed TeH3Ru crystal, as listed in the Alexandria database.

POSCAR file:
```
TeH3Ru
1.0
-3.369 1.928 -0.194
-1.016 -2.089 -3.115
-1.650 -2.650 2.315
Te H Ru
1 3 1
Direct
0.000 0.000 0.000
0.000 0.000 0.500
0.000 0.500 0.000
0.500 0.000 0.000
0.500 0.500 0.500
```

Results
The space-group type is No. 221. Its energy above the lowest structure with this stoichiometry is 0.845 eV/atom.

Record 9
First-principles (PBE) data for a relaxed Hf3ZnPb crystal, as listed in the Alexandria database.

POSCAR file:
```
Hf3ZnPb
1.0
4.937 0.000 0.000
0.000 4.937 0.000
0.000 0.000 4.937
Pb Hf Zn
1 3 1
Direct
0.500 0.500 0.500
0.500 0.000 0.000
0.000 0.000 0.500
0.000 0.500 0.000
0.000 0.000 0.000
```

Results
The formation enthalpy at 0 K is 2.3 eV/f.u. The space-group type is No. 221. Its energy above the lowest structure with this stoichiometry is 0.000 eV/atom.

Record 10
First-principles (PBE) data for a relaxed Tb8Y2In crystal, as listed in the Alexandria database.

POSCAR file:
```
Tb8Y2In
1.0
6.981 0.649 0.492
0.991 8.008 1.887
0.991 3.973 7.204
Tb In Y
8 1 2
Direct
0.808 0.603 0.603
0.703 0.652 0.187
0.703 0.187 0.652
0.297 0.813 0.348
0.006 0.220 0.220
0.297 0.348 0.813
0.192 0.397 0.397
0.994 0.780 0.780
0.000 0.000 0.000
0.561 0.195 0.195
0.439 0.805 0.805
```

Results
The formation enthalpy at 0 K is 1.0 eV/f.u. The space-group type is No. 12. Its energy above the lowest structure with this stoichiometry is 0.085 eV/atom.

Record 11
First-principles (PBE) data for a relaxed AcLaY crystal, as listed in the Alexandria database.

POSCAR file:
```
AcLaY
1.0
5.509 0.000 0.000
0.000 3.679 0.000
0.000 1.839 11.292
Y Ac La
2 2 2
Direct
0.750 0.712 0.577
0.250 0.288 0.423
0.250 0.449 0.103
0.750 0.551 0.897
0.750 0.869 0.263
0.250 0.131 0.737
```

Results
The formation enthalpy at 0 K is 0.3 eV/f.u. The space-group type is No. 63. Its energy above the lowest structure with this stoichiometry is 0.068 eV/atom.

Record 12
First-principles (PBE) data for a relaxed CaGa2Ru crystal, as listed in the Alexandria database.

POSCAR file:
```
CaGa2Ru
1.0
4.242 0.000 0.000
2.121 3.673 0.000
2.121 1.224 5.230
Ca Ru Ga
1 1 2
Direct
0.500 0.500 0.500
0.000 0.000 0.000
0.290 0.290 0.129
0.710 0.710 0.871
```

Results
The formation enthalpy at 0 K is -1.4 eV/f.u. The space-group type is No. 166.

Record 13
First-principles (PBE) data for a relaxed CaSi3Ni5 crystal, as listed in the Alexandria database.

POSCAR file:
```
CaSi3Ni5
1.0
-0.102 -2.032 3.068
5.935 1.073 -1.301
-0.347 9.665 6.391
Ni Si Ca
10 6 2
Direct
0.448 0.896 0.144
0.196 0.392 0.934
0.000 0.000 0.500
0.196 0.392 0.566
0.552 0.104 0.856
0.448 0.896 0.356
0.804 0.608 0.434
0.804 0.608 0.066
0.552 0.104 0.644
0.000 0.000 0.000
0.108 0.216 0.750
0.383 0.765 0.540
0.617 0.235 0.040
0.383 0.765 0.960
0.617 0.235 0.460
0.892 0.784 0.250
0.836 0.673 0.750
0.164 0.327 0.250
```

Results
The space-group type is No. 63. The calculation puts the energy relative to the elements, uncorrected at -0.59 eV per atom.

Quick rundown of D(E_F), same order as above: 0.8573; 0.4531; 0.6602; 1.3266; 2.6415; 0.7590; 0.4692; 0.7184; 0.7765; 1.3968; 1.6947; 0.4824; 0.5070 states/eV/atom
Quick rundown of ρ, same order as above: 9.08; 3.53; 7.66; 7.56; 9.22; 13.33; 9.57; 6.56; 11.15; 7.53; 6.60; 5.72; 5.52 g/cm3